The following is a DFT calculation (PBE with a Hubbard U) of a geometry-optimized AgMoWO6 structure.

a = 5.320 Å, b = 5.320 Å, c = 10.239 Å
α = 90.00°, β = 90.00°, γ = 120.00°
Sites, in units of the cell vectors:
O  0.008  0.382  0.645
O  0.626  0.008  0.355
O  0.374  0.382  0.855
O  0.382  0.374  0.355
O  0.618  0.626  0.645
O  0.992  0.618  0.355
O  0.374  0.992  0.645
O  0.008  0.626  0.855
O  0.992  0.374  0.145
O  0.618  0.992  0.855
O  0.626  0.618  0.145
O  0.382  0.008  0.145
Ag  0.000  0.000  0.000
Ag  0.000  0.000  0.500
W  0.667  0.333  0.250
W  0.333  0.667  0.750
Mo  0.333  0.667  0.250
Mo  0.667  0.333  0.750

Values from the calculation:
Its density is 6.4 g/cm³. The calculation puts the raw total energy at -6.67 eV per atom.